Entry 1:
{"formula": "Sm4SnSb2", "functional": "PBE-GGA", "state": "relaxed", "formation_energy_uncorrected_mev_per_atom": -783, "polymorph_energy_ev_per_fu": 1.16, "total_magnetization_mub_per_fu": 0.001, "sg": "I4_1/amd (141)", "lattice_angstrom": [[-4.930, 4.930, 4.827], [4.930, -4.930, 4.827], [4.930, 4.930, -4.827]], "species": ["Sm", "Sm", "Sm", "Sm", "Sm", "Sm", "Sm", "Sm", "Sn", "Sn", "Sb", "Sb", "Sb", "Sb"], "fractional_positions": [[0.191, 0.253, 0.562], [0.191, 0.628, 0.938], [0.253, 0.191, 0.062], [0.372, 0.809, 0.562], [0.628, 0.191, 0.438], [0.747, 0.809, 0.938], [0.809, 0.372, 0.062], [0.809, 0.747, 0.438], [0.125, 0.875, 0.250], [0.875, 0.125, 0.750], [0.000, 0.500, 0.500], [0.500, 0.000, 0.000], [0.500, 0.500, 0.000], [0.500, 0.500, 0.500]]}

---

Entry 2:
{"formula": "CoMo2POs", "functional": "PBE-GGA", "state": "relaxed", "e_form_ev_per_atom": 1.1728, "total_magnetization_mub_per_fu": 0.000, "sg": "P4/mmm (123)", "lattice_angstrom": [[4.503, 0.000, 0.000], [0.000, 4.503, 0.000], [0.000, 0.000, 3.926]], "species": ["Co", "Mo", "Mo", "P", "Os"], "fractional_positions": [[0.000, 0.000, 0.000], [0.000, 0.500, 0.000], [0.500, 0.000, 0.000], [0.000, 0.000, 0.500], [0.500, 0.500, 0.500]]}

---

Entry 3:
{"formula": "Li8AlCu2", "functional": "PBE-GGA", "state": "relaxed", "e_form_ev_per_atom": 0.0052, "polymorph_energy_ev_per_fu": 0.51, "total_magnetization_mub_per_fu": 0.000, "sg": "C2/m (12)", "lattice_angstrom": [[4.037, -5.367, 0.000], [4.037, 5.367, 0.000], [-0.040, 0.000, 4.331]], "species": ["Li", "Li", "Li", "Li", "Li", "Li", "Li", "Li", "Al", "Cu", "Cu"], "fractional_positions": [[0.163, 0.163, 0.998], [0.195, 0.463, 0.497], [0.241, 0.759, 0.000], [0.463, 0.195, 0.497], [0.537, 0.805, 0.503], [0.759, 0.241, 0.000], [0.805, 0.537, 0.503], [0.837, 0.837, 0.002], [0.500, 0.500, 0.000], [0.111, 0.889, 0.500], [0.889, 0.111, 0.500]]}

---

Entry 4:
{"formula": "V5CrB2", "functional": "PBE-GGA", "state": "relaxed", "e_form_ev_per_atom": -0.0427, "total_magnetization_mub_per_fu": 0.200, "sg": "Immm (71)", "lattice_angstrom": [[-1.541, 3.585, 4.154], [1.541, -3.585, 4.154], [1.541, 3.585, -4.154]], "species": ["V", "V", "V", "V", "V", "Cr", "B", "B"], "fractional_positions": [[0.000, 0.000, 0.000], [0.030, 0.341, 0.689], [0.349, 0.659, 0.689], [0.651, 0.341, 0.311], [0.970, 0.659, 0.311], [0.500, 0.000, 0.500], [0.289, 0.289, 0.000], [0.711, 0.711, 0.000]]}

---

Entry 5:
{"formula": "BeCd2Co", "functional": "PBE-GGA", "state": "relaxed", "e_form_ev_per_atom": 0.3832, "total_magnetization_mub_per_fu": 0.825, "sg": "I-4m2 (119)", "lattice_angstrom": [[-1.900, 1.900, 4.200], [1.900, -1.900, 4.200], [1.900, 1.900, -4.200]], "species": ["Be", "Cd", "Cd", "Co"], "fractional_positions": [[0.000, 0.000, 0.000], [0.250, 0.750, 0.500], [0.500, 0.500, 0.000], [0.750, 0.250, 0.500]]}

---

Entry 6:
{"formula": "InIr2Rh", "functional": "PBE-GGA", "state": "relaxed", "e_form_ev_per_atom": 0.3663, "total_magnetization_mub_per_fu": 0.000, "sg": "Cmmm (65)", "lattice_angstrom": [[1.416, -2.454, 0.000], [1.416, 2.454, 0.000], [0.000, 0.000, 9.293]], "species": ["In", "Ir", "Ir", "Rh"], "fractional_positions": [[0.000, 0.000, 0.000], [0.500, 0.500, 0.256], [0.500, 0.500, 0.744], [0.000, 0.000, 0.500]]}

---

Entry 7:
{"formula": "Mo", "functional": "PBE-GGA", "state": "relaxed", "e_form_ev_per_atom": 2.2770, "polymorph_energy_ev_per_fu": 2.28, "total_magnetization_mub_per_fu": 0.236, "sg": "I-43m (217)", "lattice_angstrom": [[-3.969, 3.969, 3.969], [3.969, -3.969, 3.969], [3.969, 3.969, -3.969]], "species": ["Mo", "Mo", "Mo", "Mo", "Mo", "Mo", "Mo", "Mo"], "fractional_positions": [[0.000, 0.000, 0.253], [0.000, 0.000, 0.649], [0.000, 0.253, 0.000], [0.000, 0.649, 0.000], [0.253, 0.000, 0.000], [0.351, 0.351, 0.351], [0.649, 0.000, 0.000], [0.747, 0.747, 0.747]]}

---

Entry 8:
{"formula": "NbCu2HAu", "functional": "PBE-GGA", "state": "relaxed", "total_magnetization_mub_per_fu": 0.000, "sg": "P4/mmm (123)", "final_energy_ev_per_atom": -4.87, "lattice_angstrom": [[4.063, 0.000, 0.000], [0.000, 4.063, 0.000], [0.000, 0.000, 3.869]], "species": ["Nb", "Cu", "Cu", "H", "Au"], "fractional_positions": [[0.000, 0.000, 0.000], [0.000, 0.500, 0.500], [0.500, 0.000, 0.500], [0.000, 0.000, 0.500], [0.500, 0.500, 0.000]]}